Here is a relaxed structure of Pm6TmIn4 from Alexandria. Energies are from PBE.

abc: 7.8638 7.8638 12.0289
angles: 90.00 90.00 90.00
Space group I-42m (No. 121)
Inequivalent atoms, fractional coordinates:
Pm 0.0000 0.5000 0.0000
Pm 0.1895 0.1895 0.2828
Tm 0.0000 0.0000 0.0000
In 0.1617 0.1617 0.5668

Formation energy from the elements: -1.266 eV per formula unit
Density of states at the Fermi level: 13.93 states/eV/f.u.
Calculated volume: 33.81 A^3/atom
DFT total energy: -4.109 eV per atom

=====

Here is a relaxed structure of Pm2Tm3In from Alexandria. Energies are from PBE.

abc: 4.8559 15.0520 4.8971
angles: 90.00 90.00 90.00
Space group Cmmm (No. 65)
Inequivalent atoms, fractional coordinates:
Pm 0.0000 0.1618 0.0000
Tm 0.0000 0.0000 0.5000
Tm 0.0000 0.3350 0.5000
In 0.0000 0.5000 0.0000

Formation energy from the elements: -0.891 eV per formula unit
Density of states at the Fermi level: 6.48 states/eV/f.u.
Relative energy among the computed polymorphs: 0 meV/atom
Calculated volume: 29.83 A^3/atom
DFT total energy: -4.424 eV per atom

=====

Here is a relaxed structure of Pm5Tm12In2 from Alexandria. Energies are from PBE.

abc: 15.2932 9.2565 8.2929
angles: 90.00 91.96 90.00
Space group C2/m (No. 12)
Inequivalent atoms, fractional coordinates:
Pm 0.0000 0.0000 0.0000
Pm 0.1958 0.5000 0.5114
Pm 0.2336 0.0000 0.0754
Tm 0.0537 0.5000 0.8259
Tm 0.0786 0.0000 0.3800
Tm 0.1264 0.3067 0.1681
Tm 0.1451 0.1834 0.7359
In 0.0000 0.3213 0.5000

Formation energy from the elements: -0.224 eV per formula unit
Density of states at the Fermi level: 25.65 states/eV/f.u.
Calculated volume: 30.88 A^3/atom
DFT total energy: -4.374 eV per atom

=====

Here is a relaxed structure of PmTm4In from Alexandria. Energies are from PBE.

abc: 11.2420 11.2420 6.7702
angles: 90.00 90.00 90.00
Space group I4_1md (No. 109)
Inequivalent atoms, fractional coordinates:
Pm 0.0000 0.0000 0.0000
Tm 0.0000 0.2417 0.1612
Tm 0.0000 0.2430 0.6607
In 0.0000 0.0000 0.4922

Formation energy from the elements: 3.026 eV per formula unit
Density of states at the Fermi level: 8.19 states/eV/f.u.
Relative energy among the computed polymorphs: 650 meV/atom
Calculated volume: 35.65 A^3/atom
DFT total energy: -3.725 eV per atom

=====

Here is a relaxed structure of PmTmIn from Alexandria. Energies are from PBE.

abc: 7.3823 7.3823 7.3823
angles: 90.00 90.00 90.00
Space group F-43m (No. 216)
Inequivalent atoms, fractional coordinates:
Pm 0.0000 0.0000 0.0000
Tm 0.0000 0.0000 0.5000
In 0.2500 0.2500 0.2500

Formation energy from the elements: -0.255 eV per formula unit
Density of states at the Fermi level: 5.14 states/eV/f.u.
Relative energy among the computed polymorphs: 256 meV/atom
Calculated volume: 33.53 A^3/atom
DFT total energy: -4.072 eV per atom

=====

Here is a relaxed structure of PmTmIn6 from Alexandria. Energies are from PBE.

abc: 4.6560 4.6560 9.3081
angles: 90.00 90.00 90.00
Space group P4/mmm (No. 123)
Inequivalent atoms, fractional coordinates:
Pm 0.0000 0.0000 0.0000
Tm 0.0000 0.0000 0.5000
In 0.0000 0.5000 0.2550
In 0.5000 0.5000 0.0000
In 0.5000 0.5000 0.5000

Formation energy from the elements: -3.334 eV per formula unit
Density of states at the Fermi level: 2.82 states/eV/f.u.
Calculated volume: 25.22 A^3/atom
DFT total energy: -3.623 eV per atom

=====

Here is a relaxed structure of PmTm6In3 from Alexandria. Energies are from PBE.

abc: 10.3766 15.0375 7.6793
angles: 90.00 90.00 90.00
Space group Cmc2_1 (No. 36)
Inequivalent atoms, fractional coordinates:
Pm 0.0000 0.2182 0.0000
Tm 0.0000 0.0492 0.7171
Tm 0.0000 0.2978 0.5421
Tm 0.2301 0.4668 0.5272
Tm 0.2386 0.3134 0.2150
In 0.0000 0.4451 0.2409
In 0.1492 0.1321 0.3510

Formation energy from the elements: -1.259 eV per formula unit
Density of states at the Fermi level: 12.10 states/eV/f.u.
Calculated volume: 29.96 A^3/atom
DFT total energy: -4.105 eV per atom

=====

Here is a relaxed structure of Pm12Tm3In from Alexandria. Energies are from PBE.

abc: 5.0496 5.0496 20.4385
angles: 90.00 90.00 90.00
Space group P4/mmm (No. 123)
Inequivalent atoms, fractional coordinates:
Pm 0.0000 0.0000 0.0000
Pm 0.0000 0.0000 0.2472
Pm 0.0000 0.0000 0.5000
Pm 0.0000 0.5000 0.1214
Pm 0.0000 0.5000 0.3738
Tm 0.5000 0.5000 0.2484
Tm 0.5000 0.5000 0.5000
In 0.5000 0.5000 0.0000

Formation energy from the elements: -0.796 eV per formula unit
Density of states at the Fermi level: 21.81 states/eV/f.u.
Calculated volume: 32.57 A^3/atom
DFT total energy: -4.622 eV per atom

=====

Here is a relaxed structure of Pm12TmIn6 from Alexandria. Energies are from PBE.

abc: 11.6718 11.6718 14.6720
angles: 90.00 90.00 120.00
Space group R-3 (No. 148, hexagonal axes)
Inequivalent atoms, fractional coordinates:
Pm 0.0635 0.2179 0.4096
Pm 0.0698 0.8803 0.8071
Tm 0.0000 0.0000 0.0000
In 0.0321 0.5904 0.7126

Formation energy from the elements: -4.498 eV per formula unit
Density of states at the Fermi level: 19.30 states/eV/f.u.
Calculated volume: 30.37 A^3/atom
DFT total energy: -4.337 eV per atom

=====

Here is a relaxed structure of Pm3Tm2In4 from Alexandria. Energies are from PBE.

abc: 7.0998 15.2636 10.1005
angles: 90.00 90.00 90.00
Space group Cmce (No. 64)
Inequivalent atoms, fractional coordinates:
Pm 0.0000 0.0000 0.0000
Pm 0.2500 0.2298 0.2500
Tm 0.0000 0.1036 0.5280
In 0.0000 0.1980 0.9885
In 0.2500 0.0046 0.2500

Formation energy from the elements: -2.001 eV per formula unit
Density of states at the Fermi level: 6.59 states/eV/f.u.
Calculated volume: 30.40 A^3/atom
DFT total energy: -4.017 eV per atom

=====

Here is a relaxed structure of Pm3Tm6In from Alexandria. Energies are from PBE.

abc: 11.4564 14.5259 7.6889
angles: 90.00 90.00 90.00
Space group Cmc2_1 (No. 36)
Inequivalent atoms, fractional coordinates:
Pm 0.0000 0.1226 0.0000
Pm 0.1449 0.3538 0.9281
Tm 0.0000 0.1287 0.4796
Tm 0.0000 0.4712 0.6038
Tm 0.2055 0.3115 0.5329
Tm 0.2087 0.0205 0.7333
In 0.0000 0.3265 0.2711

Formation energy from the elements: 1.631 eV per formula unit
Density of states at the Fermi level: 11.41 states/eV/f.u.
Calculated volume: 31.99 A^3/atom
DFT total energy: -4.219 eV per atom

=====

Here is a relaxed structure of Pm2Tm3In3 from Alexandria. Energies are from PBE.

abc: 4.8815 4.9452 9.2049
angles: 90.00 90.00 90.00
Space group Pmmm (No. 47)
Inequivalent atoms, fractional coordinates:
Pm 0.0000 0.0000 0.2436
Tm 0.5000 0.0000 0.5000
Tm 0.5000 0.5000 0.2314
In 0.0000 0.5000 0.0000
In 0.0000 0.5000 0.5000
In 0.5000 0.0000 0.0000

Formation energy from the elements: -2.735 eV per formula unit
Density of states at the Fermi level: 9.27 states/eV/f.u.
Relative energy among the computed polymorphs: 0 meV/atom
Calculated volume: 27.78 A^3/atom
DFT total energy: -4.233 eV per atom

=====

Here is a relaxed structure of Pm2Tm3In3 from Alexandria. Energies are from PBE.

abc: 4.5417 4.8386 20.0882
angles: 90.00 90.00 90.00
Space group Immm (No. 71)
Inequivalent atoms, fractional coordinates:
Pm 0.0000 0.0000 0.2415
Tm 0.0000 0.0000 0.0000
Tm 0.0000 0.5000 0.1168
In 0.0000 0.0000 0.5000
In 0.0000 0.5000 0.3781

Formation energy from the elements: -2.685 eV per formula unit
Density of states at the Fermi level: 6.18 states/eV/f.u.
Relative energy among the computed polymorphs: 6 meV/atom
Calculated volume: 27.59 A^3/atom
DFT total energy: -4.227 eV per atom

=====

Here is a relaxed structure of Pm7TmIn2 from Alexandria. Energies are from PBE.

abc: 9.3010 15.9939 5.3725
angles: 90.00 90.00 90.00
Space group Cmmm (No. 65)
Inequivalent atoms, fractional coordinates:
Pm 0.0000 0.0000 0.0000
Pm 0.0000 0.2775 0.5000
Pm 0.1816 0.3803 0.0000
Tm 0.0000 0.5000 0.5000
In 0.0000 0.1952 0.0000

Formation energy from the elements: 3.259 eV per formula unit
Density of states at the Fermi level: 19.95 states/eV/f.u.
Calculated volume: 39.96 A^3/atom
DFT total energy: -3.994 eV per atom

=====

Here is a relaxed structure of Pm2TmIn4 from Alexandria. Energies are from PBE.

abc: 5.2690 5.2690 14.8537
angles: 90.00 90.00 90.00
Space group I4/mmm (No. 139)
Inequivalent atoms, fractional coordinates:
Pm 0.0000 0.0000 0.2502
Tm 0.0000 0.0000 0.0000
In 0.0000 0.5000 0.1096

Formation energy from the elements: -2.279 eV per formula unit
Density of states at the Fermi level: 5.10 states/eV/f.u.
Calculated volume: 29.46 A^3/atom
DFT total energy: -3.886 eV per atom

=====

Here is a relaxed structure of Pm7Tm12In from Alexandria. Energies are from PBE.

abc: 8.6577 8.6730 8.7045
angles: 89.37 88.78 89.39
Space group P-1 (No. 2)
Inequivalent atoms, fractional coordinates:
Pm 0.0000 0.0000 0.0000
Pm 0.1269 0.2725 0.7166
Pm 0.2677 0.7170 0.1253
Pm 0.2848 0.8716 0.7290
Tm 0.0398 0.3771 0.1583
Tm 0.1595 0.0394 0.3779
Tm 0.1638 0.6114 0.4923
Tm 0.3784 0.1578 0.0363
Tm 0.3931 0.5061 0.8361
Tm 0.4941 0.1643 0.6126
In 0.5000 0.5000 0.5000

Formation energy from the elements: 3.475 eV per formula unit
Density of states at the Fermi level: 34.06 states/eV/f.u.
Calculated volume: 32.67 A^3/atom
DFT total energy: -4.309 eV per atom

=====

Here is a relaxed structure of Pm2Tm4In from Alexandria. Energies are from PBE.

abc: 6.4585 6.2175 10.6172
angles: 90.00 90.00 90.00
Space group Pmna (No. 53)
Inequivalent atoms, fractional coordinates:
Pm 0.0000 0.2433 0.0425
Tm 0.0000 0.0661 0.3451
Tm 0.2500 0.4037 0.7500
In 0.0000 0.5000 0.5000

Formation energy from the elements: -0.335 eV per formula unit
Density of states at the Fermi level: 8.49 states/eV/f.u.
Relative energy among the computed polymorphs: 0 meV/atom
Calculated volume: 30.45 A^3/atom
DFT total energy: -4.352 eV per atom